No. 1
Entry from Alexandria: an optimized crystal structure of Mg3IF (PBE-GGA).

Lattice parameters (Å, degrees): 4.9175 4.9175 4.9175 90.00 90.00 90.00
Space group Pm-3m (No. 221)
Symmetry-distinct sites (fractional):
Mg (0.0000, 0.0000, 0.5000) x3
I (0.5000, 0.5000, 0.5000) x1
F (0.0000, 0.0000, 0.0000) x1

Properties
theoretical density: 3.1 g cm⁻³
total energy: -2.24 eV/atom
E above lowest polymorph: 0.0 meV/atom


No. 2
Entry from Alexandria: an optimized crystal structure of MgIF2 (PBE-GGA).

Lattice parameters (Å, degrees): 6.1864 6.1864 8.7686 90.00 90.00 90.00
Space group I4_1/amd (No. 141, origin choice 2)
Symmetry-distinct sites (fractional):
Mg (0.0000, 0.2500, 0.3750) x4
I (0.0000, 0.2500, 0.8750) x4
F (0.0000, 0.0000, 0.5000) x8

Properties
theoretical density: 3.7 g cm⁻³
total energy: -4.07 eV/atom
E above lowest polymorph: 0.0 meV/atom


No. 3
Entry from Alexandria: an optimized crystal structure of Mg3IF (PBE-GGA).

Lattice parameters (Å, degrees): 6.1278 6.1278 6.1278 90.00 90.00 90.00
Space group Pm-3m (No. 221)
Symmetry-distinct sites (fractional):
Mg (0.0000, 0.0000, 0.5000) x3
I (0.0000, 0.0000, 0.0000) x1
F (0.5000, 0.5000, 0.5000) x1

Properties
theoretical density: 1.6 g cm⁻³
total energy: -1.41 eV/atom
E above lowest polymorph: 830.6 meV/atom


No. 4
Entry from Alexandria: an optimized crystal structure of MgIF3 (PBE-GGA).

Lattice parameters (Å, degrees): 4.7902 4.7902 4.7902 90.00 90.00 90.00
Space group Pm-3m (No. 221)
Symmetry-distinct sites (fractional):
Mg (0.0000, 0.0000, 0.0000) x1
I (0.5000, 0.5000, 0.5000) x1
F (0.0000, 0.5000, 0.5000) x3

Properties
theoretical density: 3.1 g cm⁻³
total energy: -2.55 eV/atom
E above lowest polymorph: 1232.1 meV/atom


No. 5
Entry from Alexandria: an optimized crystal structure of MgINF2 (PBE-GGA).

Lattice parameters (Å, degrees): 3.6681 3.6681 5.9376 90.00 90.00 90.00
Space group P4/mmm (No. 123)
Symmetry-distinct sites (fractional):
Mg (0.0000, 0.0000, 0.0000) x1
I (0.5000, 0.5000, 0.5000) x1
N (0.0000, 0.0000, 0.5000) x1
F (0.0000, 0.5000, 0.0000) x2

Properties
theoretical density: 4.2 g cm⁻³
total energy: -4.09 eV/atom
E above lowest polymorph: 0.0 meV/atom


No. 6
Entry from Alexandria: an optimized crystal structure of MgINF2 (PBE-GGA).

Lattice parameters (Å, degrees): 4.8854 4.8854 4.0546 90.00 90.00 90.00
Space group P4/mmm (No. 123)
Symmetry-distinct sites (fractional):
Mg (0.0000, 0.0000, 0.0000) x1
I (0.5000, 0.5000, 0.5000) x1
N (0.5000, 0.5000, 0.0000) x1
F (0.0000, 0.5000, 0.5000) x2

Properties
theoretical density: 3.5 g cm⁻³
total energy: -3.04 eV/atom
E above lowest polymorph: 1048.7 meV/atom


No. 7
Entry from Alexandria: an optimized crystal structure of NaMgIF2 (PBE-GGA).

Lattice parameters (Å, degrees): 4.0976 4.0976 6.1060 90.00 90.00 90.00
Space group P4/mmm (No. 123)
Symmetry-distinct sites (fractional):
Na (0.0000, 0.0000, 0.0000) x1
Mg (0.5000, 0.5000, 0.5000) x1
I (0.5000, 0.5000, 0.0000) x1
F (0.0000, 0.5000, 0.5000) x2

Properties
theoretical density: 3.4 g cm⁻³
total energy: -3.99 eV/atom


No. 8
Entry from Alexandria: an optimized crystal structure of NaMgI2F (PBE-GGA).

Lattice parameters (Å, degrees): 5.5621 5.5621 6.2936 90.00 90.00 90.00
Space group P4/mmm (No. 123)
Symmetry-distinct sites (fractional):
Na (0.0000, 0.0000, 0.0000) x1
Mg (0.0000, 0.0000, 0.5000) x1
I (0.0000, 0.5000, 0.0000) x2
F (0.5000, 0.5000, 0.5000) x1

Properties
theoretical density: 2.7 g cm⁻³
total energy: -1.75 eV/atom
E above lowest polymorph: 1536.2 meV/atom


No. 9
Entry from Alexandria: an optimized crystal structure of NaMgI2F (PBE-GGA).

Lattice parameters (Å, degrees): 5.9090 5.9090 3.9352 90.00 90.00 90.00
Space group P4/mmm (No. 123)
Symmetry-distinct sites (fractional):
Na (0.0000, 0.0000, 0.0000) x1
Mg (0.5000, 0.5000, 0.5000) x1
I (0.0000, 0.5000, 0.5000) x2
F (0.5000, 0.5000, 0.0000) x1

Properties
theoretical density: 3.9 g cm⁻³
total energy: -3.29 eV/atom
E above lowest polymorph: 0.0 meV/atom


No. 10
Entry from Alexandria: an optimized crystal structure of MgI2OF (PBE-GGA).

Lattice parameters (Å, degrees): 5.9341 5.9341 3.6153 90.00 90.00 90.00
Space group P4/mmm (No. 123)
Symmetry-distinct sites (fractional):
Mg (0.0000, 0.0000, 0.0000) x1
I (0.0000, 0.5000, 0.0000) x2
O (0.0000, 0.0000, 0.5000) x1
F (0.5000, 0.5000, 0.5000) x1

Properties
theoretical density: 4.1 g cm⁻³
total energy: -2.76 eV/atom
E above lowest polymorph: 0.0 meV/atom


No. 11
Entry from Alexandria: an optimized crystal structure of MgIOF2 (PBE-GGA).

Lattice parameters (Å, degrees): 5.0185 5.0185 4.0023 90.00 90.00 90.00
Space group P4/mmm (No. 123)
Symmetry-distinct sites (fractional):
Mg (0.0000, 0.0000, 0.0000) x1
I (0.5000, 0.5000, 0.5000) x1
O (0.5000, 0.5000, 0.0000) x1
F (0.0000, 0.5000, 0.5000) x2

Properties
theoretical density: 3.4 g cm⁻³
total energy: -2.98 eV/atom
E above lowest polymorph: 1057.3 meV/atom


No. 12
Entry from Alexandria: an optimized crystal structure of MgIOF2 (PBE-GGA).

Lattice parameters (Å, degrees): 3.7043 3.7043 5.5437 90.00 90.00 90.00
Space group P4/mmm (No. 123)
Symmetry-distinct sites (fractional):
Mg (0.0000, 0.0000, 0.0000) x1
I (0.5000, 0.5000, 0.5000) x1
O (0.0000, 0.0000, 0.5000) x1
F (0.0000, 0.5000, 0.0000) x2

Properties
theoretical density: 4.5 g cm⁻³
total energy: -4.04 eV/atom
E above lowest polymorph: 0.0 meV/atom